Density functional theory data (GGA+U) for a geometry-optimized NaLiMnO2 structure.

a b c (Å): 5.8621 5.3155 5.8331
angles (deg): 90.00 97.26 90.00
Closest atoms and distances in Å follow each position.
Space group P2/c (No. 13)
Symmetry-distinct sites (fractional):
1 Na 0.0000 0.2342 0.2500  2 O 2.20
2 Li 0.5000 0.5000 0.0000  2 O 1.81
3 Mn 0.5000 0.0118 0.7500  4 O 2.08-2.11
4 O 0.3314 0.2132 0.4737  1 Li 1.81

Summary:
As for the density of states at the Fermi level: 0.014 states/eV per atom. For the raw total energy, the calculation gives -5.5363 eV per atom. The value obtained for the total magnetization is 10.00 Bohr magnetons per cell.